# PBE AlBRh4, optimized geometry
# total magnetic moment: 0.0 μB per formula unit
# VASP energy: -6.90 eV/atom
# calculated volume: 168.42 Å³/cell
data_AlBRh4
_chemical_formula_sum 'Al2 B2 Rh8'
_space_group_name_H-M_alt 'C 1 m 1'
_space_group_IT_number 8
_cell_length_a 5.626
_cell_length_b 5.714
_cell_length_c 5.439
_cell_angle_alpha 90.00
_cell_angle_beta 105.61
_cell_angle_gamma 90.00
loop_
_space_group_symop_operation_xyz
'x,y,z'
'x,-y,z'
'x+1/2,y+1/2,z'
'x+1/2,-y+1/2,z'
loop_
_atom_site_label
_atom_site_type_symbol
_atom_site_fract_x
_atom_site_fract_y
_atom_site_fract_z
Al1 Al 0.000 0.000 0.000
B1 B 0.103 0.500 0.434
Rh1 Rh 0.200 0.240 0.723
Rh2 Rh 0.320 0.250 0.273

=====

# PBE CeH8Pt2, optimized geometry
# total magnetic moment: 0.6 μB per formula unit
# VASP energy: -4.22 eV/atom
# calculated volume: 226.97 Å³/cell
data_CeH8Pt2
_chemical_formula_sum 'Ce2 H16 Pt4'
_space_group_name_H-M_alt 'C 1 2/m 1'
_space_group_IT_number 12
_cell_length_a 7.764
_cell_length_b 4.346
_cell_length_c 7.281
_cell_angle_alpha 90.00
_cell_angle_beta 112.51
_cell_angle_gamma 90.00
loop_
_space_group_symop_operation_xyz
'x,y,z'
'-x,-y,-z'
'-x,y,-z'
'x,-y,z'
'x+1/2,y+1/2,z'
'-x+1/2,-y+1/2,-z'
'-x+1/2,y+1/2,-z'
'x+1/2,-y+1/2,z'
loop_
_atom_site_label
_atom_site_type_symbol
_atom_site_fract_x
_atom_site_fract_y
_atom_site_fract_z
Ce1 Ce 0.000 0.000 0.000
H1 H 0.077 0.500 0.167
H2 H 0.160 0.500 0.524
H3 H 0.201 0.243 0.852
Pt1 Pt 0.055 0.500 0.697

=====

# PBE Ho3GaSi, optimized geometry
# total magnetic moment: 0.0 μB per formula unit
# VASP energy: -4.82 eV/atom
# calculated volume: 1042.96 Å³/cell
data_Ho3GaSi
_chemical_formula_sum 'Ho24 Ga8 Si8'
_space_group_name_H-M_alt 'C 1 2/c 1'
_space_group_IT_number 15
_cell_length_a 15.032
_cell_length_b 10.348
_cell_length_c 6.895
_cell_angle_alpha 90.00
_cell_angle_beta 103.48
_cell_angle_gamma 90.00
loop_
_space_group_symop_operation_xyz
'x,y,z'
'-x,-y,-z'
'-x,y,-z+1/2'
'x,-y,z+1/2'
'x+1/2,y+1/2,z'
'-x+1/2,-y+1/2,-z'
'-x+1/2,y+1/2,-z+1/2'
'x+1/2,-y+1/2,z+1/2'
loop_
_atom_site_label
_atom_site_type_symbol
_atom_site_fract_x
_atom_site_fract_y
_atom_site_fract_z
Ho1 Ho 0.098 0.060 0.420
Ho2 Ho 0.113 0.259 0.973
Ho3 Ho 0.168 0.398 0.550
Ga1 Ga 0.000 0.287 0.250
Ga2 Ga 0.000 0.470 0.750
Si1 Si 0.230 0.132 0.758

=====

# PBE Tb3DyTl4, optimized geometry
# total magnetic moment: 0.0 μB per formula unit
# calculated volume: 219.64 Å³/cell
# distance to the lowest polymorph of the same formula: 0 meV per atom
data_Tb3DyTl4
_chemical_formula_sum 'Tb3 Dy1 Tl4'
_space_group_name_H-M_alt 'P 4/m m m'
_space_group_IT_number 123
_space_group_name_Hall '-P 4 2'
_cell_length_a 3.803
_cell_length_b 3.803
_cell_length_c 15.188
_cell_angle_alpha 90.00
_cell_angle_beta 90.00
_cell_angle_gamma 90.00
loop_
_atom_site_label
_atom_site_type_symbol
_atom_site_fract_x
_atom_site_fract_y
_atom_site_fract_z
Tb1 Tb 0.000 0.000 0.000
Tb2 Tb 0.000 0.000 0.251
Dy1 Dy 0.000 0.000 0.500
Tl1 Tl 0.500 0.500 0.125
Tl2 Tl 0.500 0.500 0.376

=====

# PBE CrHOsRh2, optimized geometry
# total magnetic moment: 1.3 μB per formula unit
# calculated volume: 57.79 Å³/cell
# distance to the lowest polymorph of the same formula: 0 meV per atom
data_CrHOsRh2
_chemical_formula_sum 'Cr1 H1 Os1 Rh2'
_space_group_name_H-M_alt 'P 4/m m m'
_space_group_IT_number 123
_space_group_name_Hall '-P 4 2'
_cell_length_a 3.837
_cell_length_b 3.837
_cell_length_c 3.924
_cell_angle_alpha 90.00
_cell_angle_beta 90.00
_cell_angle_gamma 90.00
loop_
_atom_site_label
_atom_site_type_symbol
_atom_site_fract_x
_atom_site_fract_y
_atom_site_fract_z
Cr1 Cr 0.000 0.000 0.000
H1 H 0.500 0.500 0.500
Os1 Os 0.500 0.500 0.000
Rh1 Rh 0.000 0.500 0.500

=====

# PBE AcPmPuAl, optimized geometry
# total magnetic moment: 6.7 μB per formula unit
# VASP energy: -6.56 eV/atom
# calculated volume: 477.68 Å³/cell
data_AcPmPuAl
_chemical_formula_sum 'Ac4 Pm4 Pu4 Al4'
_space_group_name_H-M_alt 'F -4 3 m'
_space_group_IT_number 216
_space_group_name_Hall 'F -4 2 3'
_cell_length_a 7.817
_cell_length_b 7.817
_cell_length_c 7.817
_cell_angle_alpha 90.00
_cell_angle_beta 90.00
_cell_angle_gamma 90.00
loop_
_atom_site_label
_atom_site_type_symbol
_atom_site_fract_x
_atom_site_fract_y
_atom_site_fract_z
Ac1 Ac 0.000 0.000 0.000
Pm1 Pm 0.250 0.250 0.750
Pu1 Pu 0.250 0.250 0.250
Al1 Al 0.000 0.000 0.500

=====

# PBE Ac8Ir3RhAu4, optimized geometry
# total magnetic moment: 0.0 μB per formula unit
# VASP energy: -5.76 eV/atom
# calculated volume: 1490.72 Å³/cell
data_Ac8Ir3RhAu4
_chemical_formula_sum 'Ac24 Ir9 Rh3 Au12'
_space_group_name_H-M_alt 'R -3 m'
_space_group_IT_number 166
_space_group_name_Hall '-R 3 2"'
_cell_length_a 8.7656
_cell_length_b 8.7656
_cell_length_c 22.4016
_cell_angle_alpha 90.00
_cell_angle_beta 90.00
_cell_angle_gamma 120.00
loop_
_atom_site_label
_atom_site_type_symbol
_atom_site_fract_x
_atom_site_fract_y
_atom_site_fract_z
Ac1 Ac 0.0000 0.0000 0.2396
Ac2 Ac 0.0017 0.5009 0.7602
Ir1 Ir 0.0000 0.5000 0.5000
Rh1 Rh 0.0000 0.0000 0.5000
Au1 Au 0.0000 0.0000 0.0000
Au2 Au 0.0000 0.5000 0.0000

=====

# PBE TbPm5Au6, optimized geometry
# total magnetic moment: 0.0 μB per formula unit
# VASP energy: -4.80 eV/atom
# calculated volume: 598.42 Å³/cell
data_TbPm5Au6
_chemical_formula_sum 'Tb2 Pm10 Au12'
_space_group_name_H-M_alt 'C 1 2/m 1'
_space_group_IT_number 12
_cell_length_a 16.523
_cell_length_b 7.304
_cell_length_c 5.223
_cell_angle_alpha 90.00
_cell_angle_beta 108.32
_cell_angle_gamma 90.00
loop_
_space_group_symop_operation_xyz
'x,y,z'
'-x,-y,-z'
'-x,y,-z'
'x,-y,z'
'x+1/2,y+1/2,z'
'-x+1/2,-y+1/2,-z'
'-x+1/2,y+1/2,-z'
'x+1/2,-y+1/2,z'
loop_
_atom_site_label
_atom_site_type_symbol
_atom_site_fract_x
_atom_site_fract_y
_atom_site_fract_z
Tb1 Tb 0.000 0.000 0.000
Pm1 Pm 0.000 0.500 0.000
Pm2 Pm 0.166 0.500 0.666
Pm3 Pm 0.168 0.000 0.668
Au1 Au 0.000 0.239 0.500
Au2 Au 0.163 0.244 0.163

=====

# PBE Tb2ThIr9, optimized geometry
# total magnetic moment: 0.0 μB per formula unit
# VASP energy: -8.67 eV/atom
# calculated volume: 651.48 Å³/cell
data_Tb2ThIr9
_chemical_formula_sum 'Tb6 Th3 Ir27'
_space_group_name_H-M_alt 'R -3 m'
_space_group_IT_number 166
_space_group_name_Hall '-R 3 2"'
_cell_length_a 5.3359
_cell_length_b 5.3359
_cell_length_c 26.4217
_cell_angle_alpha 90.00
_cell_angle_beta 90.00
_cell_angle_gamma 120.00
loop_
_atom_site_label
_atom_site_type_symbol
_atom_site_fract_x
_atom_site_fract_y
_atom_site_fract_z
Tb1 Tb 0.0000 0.0000 0.1404
Th1 Th 0.0000 0.0000 0.0000
Ir1 Ir 0.0000 0.0000 0.3330
Ir2 Ir 0.0000 0.0000 0.5000
Ir3 Ir 0.0005 0.5002 0.0826

=====

# PBE TbPaCo, optimized geometry
# total magnetic moment: 0.0 μB per formula unit
# calculated volume: 441.00 Å³/cell
# distance to the lowest polymorph of the same formula: 119 meV per atom
data_TbPaCo
_chemical_formula_sum 'Tb6 Pa6 Co6'
_space_group_name_H-M_alt 'R -3 m'
_space_group_IT_number 166
_space_group_name_Hall '-R 3 2"'
_cell_length_a 3.8770
_cell_length_b 3.8770
_cell_length_c 33.8784
_cell_angle_alpha 90.00
_cell_angle_beta 90.00
_cell_angle_gamma 120.00
loop_
_atom_site_label
_atom_site_type_symbol
_atom_site_fract_x
_atom_site_fract_y
_atom_site_fract_z
Tb1 Tb 0.0000 0.0000 0.1166
Pa1 Pa 0.0000 0.0000 0.3021
Co1 Co 0.0000 0.0000 0.4014

=====

# PBE Tb2B10W, optimized geometry
# total magnetic moment: 0.0 μB per formula unit
# VASP energy: -7.14 eV/atom
# calculated volume: 278.53 Å³/cell
data_Tb2B10W
_chemical_formula_sum 'Tb4 B20 W2'
_space_group_name_H-M_alt 'P b a m'
_space_group_IT_number 55
_cell_length_a 5.857
_cell_length_b 11.599
_cell_length_c 4.100
_cell_angle_alpha 90.00
_cell_angle_beta 90.00
_cell_angle_gamma 90.00
loop_
_space_group_symop_operation_xyz
'x,y,z'
'-x,-y,-z'
'-x,-y,z'
'x,y,-z'
'x+1/2,-y+1/2,-z'
'-x+1/2,y+1/2,z'
'-x+1/2,y+1/2,-z'
'x+1/2,-y+1/2,z'
loop_
_atom_site_label
_atom_site_type_symbol
_atom_site_fract_x
_atom_site_fract_y
_atom_site_fract_z
Tb1 Tb 0.201 0.142 0.000
B1 B 0.070 0.306 0.500
B2 B 0.117 0.959 0.500
B3 B 0.121 0.802 0.500
B4 B 0.234 0.379 0.202
W1 W 0.000 0.500 0.500